## V3FeRu4 (GGA-PBE)

Data for a geometry-optimized V3FeRu4 structure.

Geometry as POSCAR:
```
V3FeRu4
1.0
2.123 1.225 6.933
-2.123 1.225 6.933
0.000 -2.451 6.933
V Fe Ru
3 1 4
direct
0.000 0.000 0.000
0.244 0.244 0.244
0.756 0.756 0.756
0.500 0.500 0.500
0.120 0.120 0.120
0.372 0.372 0.372
0.628 0.628 0.628
0.880 0.880 0.880
```

Energy of formation in meV/atom: -201.4
DOS at the Fermi energy in states/eV/cell: 6.76